Material: CaTh2Ge2
Method: DFT, PBE
State: optimized geometry

Unit cell a=4.188 b=8.015 c=8.015 alpha=90.00 beta=90.00 gamma=90.00
Atoms (fractional coordinates):
Ca (0.000, 0.000, 0.000)
Ca (0.000, 0.500, 0.500)
Th (0.500, 0.158, 0.658)
Th (0.500, 0.658, 0.842)
Th (0.500, 0.842, 0.342)
Th (0.500, 0.342, 0.158)
Ge (0.000, 0.355, 0.855)
Ge (0.000, 0.855, 0.645)
Ge (0.000, 0.645, 0.145)
Ge (0.000, 0.145, 0.355)

Results
space-group type	P4/mbm, No. 127
formation energy from the elements	-0.633	eV per atom
N(E_F)	3.5	states/eV/f.u.


Material: Ca2Ti2Ge
Method: DFT, PBE
State: optimized geometry

Unit cell a=4.131 b=4.131 c=7.615 alpha=74.26 beta=74.26 gamma=90.00
Atoms (fractional coordinates):
Ge (0.000, 0.000, 0.000)
Ca (0.750, 0.250, 0.500)
Ca (0.250, 0.750, 0.500)
Ti (0.429, 0.429, 0.141)
Ti (0.571, 0.571, 0.859)

Results
space-group type	I4/mmm, No. 139
formation energy from the elements	0.588	eV per atom
N(E_F)	0.5	states/eV/f.u.


Material: CaTiGe3
Method: DFT, PBE
State: optimized geometry

Unit cell a=4.915 b=4.915 c=4.915 alpha=90.00 beta=90.00 gamma=90.00
Atoms (fractional coordinates):
Ge (0.000, 0.500, 0.000)
Ge (0.000, 0.000, 0.500)
Ge (0.500, 0.000, 0.000)
Ca (0.500, 0.500, 0.500)
Ti (0.000, 0.000, 0.000)

Results
space-group type	Pm-3m, No. 221
formation energy from the elements	-0.213	eV per atom
N(E_F)	2.3	states/eV/f.u.


Material: CaTiGe2
Method: DFT, PBE
State: optimized geometry

Unit cell a=5.052 b=5.052 c=9.148 alpha=73.97 beta=73.97 gamma=90.00
Site moments in Bohr magnetons follow the coordinates.
Atoms (fractional coordinates):
Ge (0.774, 0.125, 0.250)  -0.02
Ge (0.976, 0.625, 0.250)  -0.03
Ge (0.375, 0.226, 0.750)  -0.02
Ge (0.875, 0.024, 0.750)  -0.02
Ca (0.500, 0.500, 0.000)  0.01
Ca (0.250, 0.750, 0.500)  0.01
Ti (0.000, 0.000, 0.000)  0.36
Ti (0.750, 0.250, 0.500)  0.36

Results
space-group type	I-42d, No. 122
formation energy from the elements	-0.056	eV per atom
N(E_F)	2.9	states/eV/f.u.


Material: CaTiGe3
Method: DFT, PBE
State: optimized geometry

Unit cell a=5.141 b=5.141 c=5.141 alpha=90.00 beta=90.00 gamma=90.00
Atoms (fractional coordinates):
Ge (0.000, 0.500, 0.000)
Ge (0.000, 0.000, 0.500)
Ge (0.500, 0.000, 0.000)
Ca (0.000, 0.000, 0.000)
Ti (0.500, 0.500, 0.500)

Results
space-group type	Pm-3m, No. 221
formation energy from the elements	1.208	eV per atom
N(E_F)	2.5	states/eV/f.u.


Material: CaTi3Ge
Method: DFT, PBE
State: optimized geometry

Unit cell a=4.641 b=4.641 c=4.641 alpha=90.00 beta=90.00 gamma=90.00
Site moments in Bohr magnetons follow the coordinates.
Atoms (fractional coordinates):
Ge (0.500, 0.500, 0.500)  -0.02
Ca (0.000, 0.000, 0.000)  0.10
Ti (0.000, 0.500, 0.000)  0.64
Ti (0.000, 0.000, 0.500)  0.45
Ti (0.500, 0.000, 0.000)  0.71

Results
space-group type	Pm-3m, No. 221
formation energy from the elements	1.667	eV per atom
N(E_F)	5.9	states/eV/f.u.


Material: CaTiGe2
Method: DFT, PBE
State: optimized geometry

Unit cell a=4.174 b=4.174 c=6.304 alpha=70.67 beta=70.67 gamma=60.00
Atoms (fractional coordinates):
Ge (0.273, 0.273, 0.180)
Ge (0.727, 0.727, 0.820)
Ca (0.500, 0.500, 0.500)
Ti (0.000, 0.000, 0.000)

Results
space-group type	R-3m, No. 166
formation energy from the elements	-0.388	eV per atom
N(E_F)	2.4	states/eV/f.u.


Material: CaTi2Ge
Method: DFT, PBE
State: optimized geometry

Unit cell a=7.867 b=7.867 c=6.266 alpha=51.12 beta=51.12 gamma=90.00
Site moments in Bohr magnetons follow the coordinates.
Atoms (fractional coordinates):
Ge (0.000, 0.000, 0.000)  0.00
Ge (0.750, 0.250, 0.500)  0.00
Ca (0.500, 0.500, 0.000)  0.04
Ca (0.250, 0.750, 0.500)  0.04
Ti (0.681, 0.125, 0.250)  0.77
Ti (0.069, 0.625, 0.250)  0.81
Ti (0.375, 0.319, 0.750)  0.73
Ti (0.875, 0.931, 0.750)  0.76

Results
space-group type	I-42d, No. 122
formation energy from the elements	0.271	eV per atom
N(E_F)	2.2	states/eV/f.u.


Material: CaTi3Ge
Method: DFT, PBE
State: optimized geometry

Unit cell a=4.892 b=4.892 c=4.892 alpha=90.00 beta=90.00 gamma=90.00
Atoms (fractional coordinates):
Ge (0.000, 0.000, 0.000)
Ca (0.500, 0.500, 0.500)
Ti (0.000, 0.500, 0.000)
Ti (0.000, 0.000, 0.500)
Ti (0.500, 0.000, 0.000)

Results
space-group type	Pm-3m, No. 221
formation energy from the elements	0.363	eV per atom
N(E_F)	8.9	states/eV/f.u.


Material: CaTi2TlGe
Method: DFT, PBE
State: optimized geometry

Unit cell a=5.126 b=5.556 c=5.126 alpha=90.00 beta=90.00 gamma=90.00
Atoms (fractional coordinates):
Tl (0.000, 0.000, 0.000)
Ca (0.000, 0.500, 0.000)
Ge (0.500, 0.500, 0.500)
Ti (0.000, 0.000, 0.500)
Ti (0.500, 0.000, 0.000)

Results
space-group type	P4/mmm, No. 123
formation energy from the elements	0.926	eV per atom
N(E_F)	8.9	states/eV/f.u.


Material: CaTlGe
Method: DFT, PBE
State: optimized geometry

Unit cell a=4.473 b=6.066 c=6.784 alpha=71.36 beta=71.63 gamma=68.94
Atoms (fractional coordinates):
Tl (0.173, 0.740, 0.418)
Tl (0.827, 0.260, 0.582)
Ca (0.427, 0.818, 0.826)
Ca (0.573, 0.182, 0.174)
Ge (0.864, 0.621, 0.150)
Ge (0.136, 0.379, 0.850)

Results
space-group type	P-1, No. 2
formation energy from the elements	-0.357	eV per atom
N(E_F)	1.1	states/eV/f.u.


Material: CaTl2Ge
Method: DFT, PBE
State: optimized geometry

Unit cell a=8.667 b=8.667 c=6.846 alpha=50.73 beta=50.73 gamma=90.00
Atoms (fractional coordinates):
Tl (0.677, 0.125, 0.250)
Tl (0.073, 0.625, 0.250)
Tl (0.375, 0.323, 0.750)
Tl (0.875, 0.927, 0.750)
Ca (0.500, 0.500, 0.000)
Ca (0.250, 0.750, 0.500)
Ge (0.000, 0.000, 0.000)
Ge (0.750, 0.250, 0.500)

Results
space-group type	I-42d, No. 122
formation energy from the elements	-0.122	eV per atom
N(E_F)	1.3	states/eV/f.u.